(1)
8
Lattice="-1.455 4.285 -0.619 -5.921 -1.867 0.989 1.264 2.091 11.516" Properties=species:S:1:pos:R:3 comment="RbSn | the Alexandria database | PBE | optimized geometry" formation_energy_mev_per_atom=-211 n_ef_per_ev_atom=0.381 crystal_system=orthorhombic dft_energy_ev_per_cell=-21.6 spacegroup="Imma (74)" pbc="T T T"
Sn -4.313 2.157 8.220
Rb -1.062 3.571 10.372
Sn -1.798 2.353 3.666
Sn -1.257 -0.098 2.277
Rb -5.049 0.939 1.514
Rb -3.927 -0.551 5.418
Sn -3.399 0.322 10.228
Rb -0.730 0.775 7.086

(2)
8
Lattice="4.114 0.000 0.000 0.000 4.114 0.000 2.057 2.057 8.439" Properties=species:S:1:pos:R:3 comment="BeRu2Pb | the Alexandria database | PBE | optimized geometry" formation_energy_mev_per_atom=613 n_ef_per_ev_atom=0.549 crystal_system=tetragonal dft_energy_ev_per_cell=-47.1 spacegroup="I-42d (122)" pbc="T T T"
Ru 2.683 3.085 2.110
Ru 5.142 3.488 6.329
Pb 4.114 2.057 4.219
Pb 0.000 0.000 0.000
Ru 1.431 1.028 2.110
Be 2.057 4.114 4.219
Ru 3.085 4.740 6.329
Be 2.057 2.057 0.000

Number 1: total magnetic moment 0.00 μB per cell, calculated density 4.01 g/cm³. Number 2: total magnetic moment 0.00 μB per cell, calculated density 9.73 g/cm³.